(1)
Density functional theory data (GGA-PBEsol) for Si4Ir after structural relaxation.

```
Si4Ir
1.0
4.792 0.000 0.000
-1.597 4.518 0.000
-1.597 -2.259 3.912
Ir Si
1 4
Direct
0.000 0.000 0.000
0.000 0.500 0.000
0.000 0.000 0.500
0.500 0.500 0.500
0.500 0.000 0.000
```

Results
- E above lowest polymorph (meV per atom) = 47
- formation energy (no corrections) (eV per atom) = 0.32
- space-group type = Im-3m (229)

=====

(2)
Density functional theory data (GGA-PBEsol) for Cr3Re after structural relaxation.

```
Cr3Re
1.0
-0.649 -1.500 2.393
2.720 -2.883 -1.070
1.872 4.180 1.374
Cr Re
3 1
Direct
0.500 0.000 0.000
0.755 0.755 0.510
0.245 0.245 0.490
0.000 0.500 0.000
```

Results
- energy of formation from the pure elements (eV/atom) = 0.03
- space-group type = Immm (71)

=====

(3)
Density functional theory data (GGA-PBEsol) for Ag4Au after structural relaxation.

```
Ag4Au
1.0
2.840 0.000 0.000
0.000 4.088 0.000
-1.420 -2.044 7.154
Ag Au
4 1
Direct
0.300 0.300 0.599
0.700 0.700 0.401
0.101 0.101 0.201
0.899 0.899 0.799
0.500 0.500 0.000
```

Results
- E above lowest polymorph (meV per atom) = 5
- energy of formation from the pure elements (eV/atom) = -0.03
- space-group type = Immm (71)

=====

(4)
Density functional theory data (GGA-PBEsol) for BaSrSn2O6 after structural relaxation.

```
BaSrSn2O6
1.0
-3.213 2.545 0.054
-2.281 -2.916 1.759
2.261 2.696 7.400
Sr Ba O Sn
1 1 6 2
Direct
0.500 0.500 0.500
0.500 0.500 0.000
0.000 0.000 0.000
0.500 0.000 0.743
0.000 0.000 0.500
0.000 0.500 0.743
0.000 0.500 0.257
0.500 0.000 0.257
0.000 0.000 0.253
0.000 0.000 0.747
```

Results
- E above lowest polymorph (meV per atom) = 0
- formation energy (no corrections) (eV per atom) = -2.24
- space-group type = P4/mmm (123)

=====

(5)
Density functional theory data (GGA-PBEsol) for CdNiAsSe2 after structural relaxation.

```
CdNiAsSe2
1.0
4.307 0.000 0.000
0.000 4.887 0.000
0.000 0.000 4.887
Se Cd As Ni
2 1 1 1
Direct
0.000 0.500 0.000
0.000 0.000 0.500
0.500 0.500 0.500
0.500 0.000 0.000
0.000 0.000 0.000
```

Results
- formation energy (no corrections) (eV per atom) = 0.23
- space-group type = P4/mmm (123)

=====

(6)
Density functional theory data (GGA-PBEsol) for Nd2Si5Rh3 after structural relaxation.

```
Nd2Si5Rh3
1.0
5.773 0.000 0.000
2.886 7.639 0.020
2.886 1.250 7.537
Si Nd Rh
10 4 6
Direct
0.106 0.239 0.550
0.527 0.723 0.723
0.250 0.000 0.000
0.473 0.277 0.277
0.973 0.277 0.277
0.394 0.450 0.761
0.894 0.761 0.450
0.750 0.000 0.000
0.027 0.723 0.723
0.606 0.550 0.239
0.369 0.899 0.364
0.131 0.636 0.101
0.631 0.101 0.636
0.869 0.364 0.899
0.861 0.031 0.247
0.361 0.247 0.031
0.639 0.753 0.969
0.250 0.500 0.500
0.750 0.500 0.500
0.139 0.969 0.753
```

Results
- formation energy (no corrections) (eV per atom) = -1.03
- space-group type = Ibam (72)

=====

(7)
Density functional theory data (GGA-PBEsol) for LuMgAu2 after structural relaxation.

```
LuMgAu2
1.0
-3.488 -2.901 -1.447
0.811 -3.149 -3.479
0.203 -4.652 0.999
Mg Au Lu
1 2 1
Direct
0.000 0.000 0.000
0.750 0.750 0.750
0.250 0.250 0.250
0.500 0.500 0.500
```

Results
- energy of formation from the pure elements (eV/atom) = -0.80
- space-group type = Fm-3m (225)

=====

(8)
Density functional theory data (GGA-PBEsol) for Y4W after structural relaxation.

```
Y4W
1.0
3.445 0.000 0.000
0.000 3.445 0.000
-1.723 -1.723 11.295
Y W
4 1
Direct
0.803 0.803 0.607
0.197 0.197 0.393
0.576 0.576 0.152
0.424 0.424 0.848
0.000 0.000 0.000
```

Results
- energy of formation from the pure elements (eV/atom) = 0.34
- space-group type = I4/mmm (139)

=====

(9)
Density functional theory data (GGA-PBEsol) for BeZn2Ru after structural relaxation.

```
BeZn2Ru
1.0
-3.521 0.378 -0.339
-0.507 -2.722 2.233
1.991 3.613 2.023
Zn Ru Be
2 1 1
Direct
0.750 0.250 0.500
0.000 0.000 0.000
0.250 0.750 0.500
0.500 0.500 0.000
```

Results
- energy of formation from the pure elements (eV/atom) = -0.02
- space-group type = I-4m2 (119)

=====

(10)
Density functional theory data (GGA-PBEsol) for HgTeSe after structural relaxation.

```
HgTeSe
1.0
-0.647 -2.101 -3.514
-0.004 -1.991 3.635
-4.965 0.804 0.434
Te Se Hg
1 1 1
Direct
0.667 0.333 0.321
0.333 0.667 0.692
0.000 0.000 0.987
```

Results
- E above lowest polymorph (meV per atom) = 0
- formation energy (no corrections) (eV per atom) = 0.02
- space-group type = P3m1 (156)

=====

(11)
Density functional theory data (GGA-PBEsol) for Tc2PRu after structural relaxation.

```
Tc2PRu
1.0
2.834 0.000 0.000
0.000 2.834 0.000
0.000 0.000 6.436
Tc Ru P
2 1 1
Direct
0.000 0.000 0.220
0.000 0.000 0.780
0.500 0.500 0.500
0.500 0.500 0.000
```

Results
- energy of formation from the pure elements (eV/atom) = -0.31
- space-group type = P4/mmm (123)

=====

(12)
Density functional theory data (GGA-PBEsol) for InSbO2 after structural relaxation.

```
InSbO2
1.0
-0.108 1.185 3.082
1.291 -1.748 2.488
6.335 2.841 0.900
O In Sb
2 1 1
Direct
0.112 0.112 0.664
0.888 0.888 0.336
0.500 0.500 0.500
0.000 0.000 0.000
```

Results
- E above lowest polymorph (meV per atom) = 0
- formation energy (no corrections) (eV per atom) = -1.22
- space-group type = R-3m (166)